Below is BaSc2Cr after structural relaxation, with properties calculated at the GGA-PBE level.

Properties
Size of the total moment = 3.171 μB per formula unit
Electronic total energy = -5.353 eV per atom
ΔE_f = 0.699 eV per atom

The structure in CIF format:
```
data_BaSc2Cr
_space_group_name_H-M_alt 'P 1'
_space_group_IT_number 1
_cell_length_a 5.590
_cell_length_b 5.590
_cell_length_c 3.535
_cell_angle_alpha 90.00
_cell_angle_beta 90.00
_cell_angle_gamma 106.72
loop_
_space_group_symop_operation_xyz
'x,y,z'
loop_
_atom_site_label
_atom_site_fract_x
_atom_site_fract_y
_atom_site_fract_z
Sc1 0.500 0.500 0.000
Sc2 0.000 0.000 0.000
Cr1 0.000 0.500 0.500
Ba1 0.500 0.000 0.500
```



Below is BaScCr after structural relaxation, with properties calculated at the GGA-PBE level.

Properties
Size of the total moment = 3.715 μB per formula unit
Electronic total energy = -5.394 eV per atom
ΔE_f = 0.565 eV per atom

The structure in CIF format:
```
data_BaScCr
_space_group_name_H-M_alt 'P 1'
_space_group_IT_number 1
_cell_length_a 6.946
_cell_length_b 6.946
_cell_length_c 3.759
_cell_angle_alpha 74.30
_cell_angle_beta 74.31
_cell_angle_gamma 31.40
loop_
_space_group_symop_operation_xyz
'x,y,z'
loop_
_atom_site_label
_atom_site_fract_x
_atom_site_fract_y
_atom_site_fract_z
Ba1 0.988 0.988 0.012
Cr1 0.303 0.303 0.697
Sc1 0.709 0.709 0.291
```